(1)
BaSr2I6: single point on PBEsol structure, SCAN.

The calculation puts the energy above the most stable polymorph in this dataset at 0.0 meV per atom. The value obtained for the uncorrected formation energy is -1.88 eV/atom. Its total energy is -35.72 eV/atom. As for the magnetization: 0.00 μB per formula unit. The density of states at the Fermi level is 0.0 states/eV per cell. Its crystal system is trigonal. Its space group is P-31m.

Lattice parameters (Å, degrees): 8.267 8.267 7.272 90.00 90.00 120.00
Sites, in units of the cell vectors:
1 Ba 0.000 0.000 0.000
2 Sr 0.333 0.667 0.500
3 Sr 0.667 0.333 0.500
4 I 0.000 0.353 0.752
5 I 0.000 0.647 0.248
6 I 0.353 0.000 0.752
7 I 0.353 0.353 0.248
8 I 0.647 0.000 0.248
9 I 0.647 0.647 0.752

(2)
BaTaI2: single point on PBEsol structure, SCAN.

The value obtained for the uncorrected formation energy is 0.25 eV/atom. Its total energy is -44.66 eV/atom. As for the magnetization: 3.39 μB per formula unit. The density of states at the Fermi level is 6.7 states/eV per cell. Its crystal system is tetragonal. Its space group is I-42d.

Lattice parameters (Å, degrees): 9.735 9.735 9.735 144.74 144.74 50.73
Sites, in units of the cell vectors:
1 Ba 0.000 0.000 0.000
2 Ba 0.750 0.250 0.500
3 Ta 0.250 0.750 0.500
4 Ta 0.500 0.500 0.000
5 I 0.212 0.625 0.087
6 I 0.375 0.462 0.587
7 I 0.538 0.125 0.913
8 I 0.875 0.788 0.413

(3)
Ba3TaI: single point on PBEsol structure, SCAN.

The value obtained for the uncorrected formation energy is 0.38 eV/atom. Its total energy is -44.02 eV/atom. As for the magnetization: 0.00 μB per formula unit. The density of states at the Fermi level is 4.9 states/eV per cell. Its crystal system is cubic. Its space group is Pm-3m.

Lattice parameters (Å, degrees): 5.998 5.998 5.998 90.00 90.00 90.00
Sites, in units of the cell vectors:
1 Ba 0.000 0.000 0.500
2 Ba 0.000 0.500 0.000
3 Ba 0.500 0.000 0.000
4 Ta 0.000 0.000 0.000
5 I 0.500 0.500 0.500

(4)
BaTaI3: single point on PBEsol structure, SCAN.

The value obtained for the uncorrected formation energy is 0.39 eV/atom. Its total energy is -42.88 eV/atom. As for the magnetization: 4.00 μB per formula unit. The density of states at the Fermi level is 8.1 states/eV per cell. Its crystal system is cubic. Its space group is Pm-3m.

Lattice parameters (Å, degrees): 6.508 6.508 6.508 90.00 90.00 90.00
Sites, in units of the cell vectors:
1 Ba 0.000 0.000 0.000
2 Ta 0.500 0.500 0.500
3 I 0.000 0.000 0.500
4 I 0.000 0.500 0.000
5 I 0.500 0.000 0.000

Number 1 is which compound? BaSr2I6

The highest density of states at the Fermi level belongs to which entry? BaTaI3

Among the records above, which one has the highest magnetization? BaTaI3